No. 1
LaSb2ICl | SCAN | PBEsol geometry

It has space group P4/mmm (No. 123), with a = 6.132 Å, b = 6.132 Å, c = 5.994 Å, α = 90.00°, β = 90.00° and γ = 90.00°. The asymmetric unit holds La at (0.000, 0.000, 0.000), Sb at (0.000, 0.500, 0.000), I at (0.000, 0.000, 0.500) and Cl at (0.500, 0.500, 0.500).

Its raw formation energy is 6.64 kJ/mol of atoms.

***

No. 2
Tl2Pt5S6 | SCAN | PBEsol geometry

It has space group P2_1/c (No. 14), with a = 6.922 Å, b = 6.961 Å, c = 12.210 Å, α = 90.00°, β = 116.47° and γ = 90.00°. The asymmetric unit holds Tl at (0.164, 0.211, 0.047), Pt at (0.001, 0.190, 0.245), Pt at (0.499, 0.571, 0.731), Pt at (0.500, 0.000, 0.500), S at (0.242, 0.564, 0.805), S at (0.245, 0.058, 0.840) and S at (0.343, 0.659, 0.111).

Its raw formation energy is -52.25 kJ/mol of atoms.

***

No. 3
YOsPd2N | SCAN | PBEsol geometry

It has space group P4/mmm (No. 123), with a = 4.947 Å, b = 4.947 Å, c = 3.976 Å, α = 90.00°, β = 90.00° and γ = 90.00°. The asymmetric unit holds Y at (0.000, 0.000, 0.000), Os at (0.500, 0.500, 0.500), Pd at (0.000, 0.500, 0.000) and N at (0.000, 0.000, 0.500).

Its raw formation energy is 159.78 kJ/mol of atoms.

***

No. 4
CaTaPbS2 | SCAN | PBEsol geometry

It has space group P4/mmm (No. 123), with a = 4.715 Å, b = 4.715 Å, c = 5.974 Å, α = 90.00°, β = 90.00° and γ = 90.00°. The asymmetric unit holds Ca at (0.000, 0.000, 0.000), Ta at (0.000, 0.000, 0.500), Pb at (0.500, 0.500, 0.000) and S at (0.000, 0.500, 0.500).

Its raw formation energy is -12.96 kJ/mol of atoms.

***

No. 5
KFeIr2 | SCAN | PBEsol geometry

It has space group P4/mmm (No. 123), with a = 2.717 Å, b = 2.717 Å, c = 8.738 Å, α = 90.00°, β = 90.00° and γ = 90.00°. The asymmetric unit holds K at (0.000, 0.000, 0.000), Fe at (0.000, 0.000, 0.500) and Ir at (0.500, 0.500, 0.314).

The calculation puts the energy of formation at 38 kJ per mole of atoms. The energy above the lowest structure with this stoichiometry comes out at 0 meV per atom.

***

No. 6
CuSb4As | SCAN | PBEsol geometry

It has space group F-43m (No. 216), with a = 8.508 Å, b = 8.508 Å, c = 8.508 Å, α = 90.00°, β = 90.00° and γ = 90.00°. The asymmetric unit holds Cu at (0.000, 0.000, 0.000), Sb at (0.125, 0.125, 0.375) and As at (0.250, 0.250, 0.750).

Its raw formation energy is 80.66 kJ/mol of atoms.

***

No. 7
ZnInPt2 | SCAN | PBEsol geometry

It has space group Pmmm (No. 47), with a = 2.901 Å, b = 3.726 Å, c = 5.774 Å, α = 90.00°, β = 90.00° and γ = 90.00°. The asymmetric unit holds Zn at (0.000, 0.000, 0.000), In at (0.000, 0.000, 0.500) and Pt at (0.500, 0.500, 0.238).

The calculation puts the energy of formation at -49 kJ per mole of atoms.

***

No. 8
Tc | SCAN | PBEsol geometry

It has space group P6_3/mmc (No. 194), with a = 2.7197 Å, b = 2.7197 Å, c = 8.7124 Å, α = 90.00°, β = 90.00° and γ = 120.00°. The asymmetric unit holds Tc at (0.0000, 0.0000, 0.0000) and Tc at (0.3333, 0.6667, 0.2500).

The calculation puts the energy of formation at 0 kJ per mole of atoms. The energy above the lowest structure with this stoichiometry comes out at 2 meV per atom.

***

No. 9
InCo2Os | SCAN | PBEsol geometry

It has space group R3m (No. 160, hexagonal axes), with a = 2.7540 Å, b = 2.7540 Å, c = 25.1829 Å, α = 90.00°, β = 90.00° and γ = 120.00°. The asymmetric unit holds In at (0.0000, 0.0000, 0.0000), Co at (0.0000, 0.0000, 0.2462), Co at (0.0000, 0.0000, 0.5070) and Os at (0.0000, 0.0000, 0.7628).

The calculation puts the energy of formation at 47 kJ per mole of atoms.

***

No. 10
BaMnRh | SCAN | PBEsol geometry

It has space group I4mm (No. 107), with a = 3.441 Å, b = 3.441 Å, c = 11.338 Å, α = 90.00°, β = 90.00° and γ = 90.00°. The asymmetric unit holds Ba at (0.000, 0.000, 0.000), Mn at (0.000, 0.000, 0.275) and Rh at (0.000, 0.000, 0.717).

The calculation puts the energy of formation at 1 kJ per mole of atoms.

***

No. 11
BaGe2Pd | SCAN | PBEsol geometry

It has space group Fm-3m (No. 225), with a = 7.013 Å, b = 7.013 Å, c = 7.013 Å, α = 90.00°, β = 90.00° and γ = 90.00°. The asymmetric unit holds Ba at (0.000, 0.000, 0.000), Ge at (0.250, 0.250, 0.250) and Pd at (0.000, 0.000, 0.500).

The calculation puts the energy of formation at -5 kJ per mole of atoms.

***

No. 12
CdHg2Te | SCAN | PBEsol geometry

It has space group Cmm2 (No. 35), with a = 3.764 Å, b = 4.927 Å, c = 10.757 Å, α = 90.00°, β = 90.00° and γ = 90.00°. The asymmetric unit holds Cd at (0.000, 0.000, 0.000), Hg at (0.000, 0.000, 0.526), Hg at (0.000, 0.500, 0.769) and Te at (0.000, 0.500, 0.249).

Its raw formation energy is 8.18 kJ/mol of atoms. The energy above the lowest structure with this stoichiometry comes out at 55 meV per atom.